Computed, not measured: LaZrCu after structural relaxation at the PBE level of DFT.

Properties
distance to the lowest polymorph of the same formula: 127 meV per atom
DOS(E_F): 1.09 states/eV/atom
uncorrected energy: -5.78 eV per atom
energy of formation: 0.077 eV per atom
mass density: 6.90 g/cm3
crystal system: monoclinic
calculated volume: 23.57 Å³/atom

Cell lengths 12.282, 3.353, 8.229 Å; angles 90.00, 123.41, 90.00 degrees
Sites, in units of the cell vectors:
La  0.000  0.000  0.000
La  0.197  0.000  0.593
La  0.500  0.500  0.000
La  0.697  0.500  0.593
Zr  0.380  0.000  0.247
Zr  0.462  0.500  0.618
Zr  0.880  0.500  0.247
Zr  0.962  0.000  0.618
Cu  0.191  0.500  0.935
Cu  0.214  0.500  0.288
Cu  0.691  0.000  0.935
Cu  0.714  0.000  0.288

Computed, not measured: LiAc2SmSe5 after structural relaxation at the PBE level of DFT.

Properties
uncorrected energy: -5.45 eV per atom
formation energy without anion corrections: -1.863 eV per atom
mass density: 6.72 g/cm3
crystal system: orthorhombic
calculated volume: 27.61 Å³/atom

Cell lengths 9.198, 9.198, 12.835 Å; angles 90.00, 90.00, 152.76 degrees
Sites, in units of the cell vectors:
Li  0.016  0.984  0.500
Li  0.984  0.016  0.000
Ac  0.376  0.624  0.320
Ac  0.390  0.610  0.705
Ac  0.610  0.390  0.205
Ac  0.624  0.376  0.820
Sm  0.303  0.697  0.022
Sm  0.697  0.303  0.522
Se  0.001  0.999  0.304
Se  0.138  0.862  0.019
Se  0.193  0.807  0.367
Se  0.211  0.789  0.678
Se  0.454  0.546  0.085
Se  0.546  0.454  0.585
Se  0.789  0.211  0.178
Se  0.807  0.193  0.867
Se  0.862  0.138  0.519
Se  0.999  0.001  0.804

Computed, not measured: Y4AlPt after structural relaxation at the PBE level of DFT.

Properties
distance to the lowest polymorph of the same formula: 216 meV per atom
DOS(E_F): 1.22 states/eV/atom
uncorrected energy: -6.36 eV per atom
energy of formation: -0.420 eV per atom
mass density: 5.38 g/cm3
crystal system: monoclinic
calculated volume: 29.69 Å³/atom

Cell lengths 7.249, 7.058, 6.970 Å; angles 90.00, 92.25, 90.00 degrees
Sites, in units of the cell vectors:
Y  0.155  0.162  0.174
Y  0.155  0.338  0.674
Y  0.329  0.652  0.136
Y  0.329  0.848  0.636
Y  0.671  0.152  0.364
Y  0.671  0.348  0.864
Y  0.845  0.662  0.326
Y  0.845  0.838  0.826
Al  0.500  0.000  0.000
Al  0.500  0.500  0.500
Pt  0.000  0.000  0.500
Pt  0.000  0.500  0.000

Computed, not measured: Th5SbPb2C after structural relaxation at the PBE level of DFT.

Properties
DOS(E_F): 0.69 states/eV/atom
uncorrected energy: -6.77 eV per atom
formation energy without anion corrections: -0.337 eV per atom
mass density: 10.24 g/cm3
crystal system: tetragonal
calculated volume: 30.78 Å³/atom

Cell lengths 4.867, 4.867, 11.697 Å; angles 90.00, 90.00, 90.00 degrees
Sites, in units of the cell vectors:
Th  0.000  0.000  0.000
Th  0.000  0.500  0.500
Th  0.500  0.000  0.500
Th  0.500  0.500  0.270
Th  0.500  0.500  0.730
Sb  0.500  0.500  0.000
Pb  0.000  0.000  0.284
Pb  0.000  0.000  0.716
C  0.500  0.500  0.500